An optimized crystal structure of VHg2Rh2. Source: the Alexandria database, functional PBE.

POSCAR file:
```
VHg2Rh2
1.0
-1.8378 1.8378 7.0873
1.8378 -1.8378 7.0873
1.8378 1.8378 -7.0873
V Hg Rh
1 2 2
direct
0.0000 0.0000 0.0000
0.3998 0.3998 0.0000
0.6002 0.6002 0.0000
0.2500 0.7500 0.5000
0.7500 0.2500 0.5000
```

**DOS at the Fermi energy**: 1.62 states/eV/atom
**Symmetry**: I4/mmm, No. 139

***

An optimized crystal structure of VHgRh2W. Source: the Alexandria database, functional PBE.

POSCAR file:
```
VHgRh2W
1.0
4.6562 0.0000 0.0000
0.0000 4.6562 0.0000
0.0000 0.0000 5.2170
V Hg Rh W
1 1 2 1
direct
0.0000 0.0000 0.0000
0.5000 0.5000 0.0000
0.0000 0.5000 0.5000
0.5000 0.0000 0.5000
0.5000 0.5000 0.5000
```

**DOS at the Fermi energy**: 2.03 states/eV/atom
**Symmetry**: P4/mmm, No. 123

***

An optimized crystal structure of HgRh2W. Source: the Alexandria database, functional PBE.

POSCAR file:
```
HgRh2W
1.0
-1.9292 1.9292 4.2766
1.9292 -1.9292 4.2766
1.9292 1.9292 -4.2766
Hg Rh W
1 2 1
direct
0.0000 0.0000 0.0000
0.2500 0.7500 0.5000
0.5000 0.5000 0.0000
0.7500 0.2500 0.5000
```

**DOS at the Fermi energy**: 0.62 states/eV/atom
**Symmetry**: I-4m2, No. 119

***

An optimized crystal structure of HgRh4W. Source: the Alexandria database, functional PBE.

POSCAR file:
```
HgRh4W
1.0
0.0000 3.6237 3.6237
3.6237 0.0000 3.6237
3.6237 3.6237 0.0000
Hg Rh W
1 4 1
direct
0.0000 0.0000 0.0000
0.1246 0.6251 0.6251
0.6251 0.1246 0.6251
0.6251 0.6251 0.1246
0.6251 0.6251 0.6251
0.2500 0.2500 0.2500
```

**DOS at the Fermi energy**: 0.68 states/eV/atom
**Symmetry**: F-43m, No. 216

***

Which V belongs to each record? In order, 19.15; 22.62; 15.92; 15.86 A^3/atom.
Which DFT total energy belongs to each record? In order, -4.286; -5.830; -6.739; -6.799 eV per atom.